Record 1
{"formula": "TaHg2Rh", "functional": "PBE", "state": "optimized geometry", "magmom_total_mub_per_atom": 0.000, "polymorph_energy_mev_per_atom": 289, "spacegroup": "Immm, No. 71", "lattice_angstrom": [[4.421, -3.754, -0.340], [-0.141, -4.872, 3.163], [-2.172, 3.387, -4.191]], "species": ["Rh", "Ta", "Hg", "Hg"], "fractional_positions": [[0.000, 0.500, 0.500], [0.500, 0.000, 0.500], [0.240, 0.240, 0.000], [0.760, 0.760, 0.000]]}

Record 2
{"formula": "CdH2Rh", "functional": "PBE", "state": "optimized geometry", "magmom_total_mub_per_atom": 0.000, "dft_energy_ev_per_fu": -14.99, "spacegroup": "R3m, No. 160", "lattice_angstrom": [[3.071, 0.000, 0.000], [1.535, 2.660, 0.000], [1.535, 0.887, 5.210]], "species": ["Rh", "Cd", "H", "H"], "fractional_positions": [[0.674, 0.674, 0.977], [0.494, 0.494, 0.517], [0.032, 0.032, 0.904], [0.299, 0.299, 0.102]]}